Here is a geometry-optimized Ce2TmZn2In2 structure from the Alexandria database. Energies are from PBE.

Results
E_form in eV per formula unit: -1.7
SG: R-3m (166)
Total DFT energy (no corrections) in eV/atom: -3.720
Total moment in μB per atom: 0.26

```
Ce2TmZn2In2
1.0
4.560 0.000 0.000
2.280 3.949 0.000
2.280 1.316 9.090
Ce Tm Zn In
2 1 2 2
Cartesian
2.280 1.316 5.227
6.840 3.949 3.863
0.000 0.000 0.000
4.560 2.633 1.850
4.560 2.633 7.240
6.840 3.949 7.279
2.280 1.316 1.811
```

=====

Here is a geometry-optimized KZnSb2 structure from the Alexandria database. Energies are from PBE.

Results
SG: F-43m (216)
Total DFT energy (no corrections) in eV/atom: -2.536
Total moment in μB per atom: 0.00
Energy relative to the elements, uncorrected in meV per atom: 118

```
KZnSb2
1.0
5.453 0.000 0.000
2.727 4.723 0.000
2.727 1.574 4.453
K Sb Zn
1 2 1
Cartesian
5.453 3.149 2.226
0.000 0.000 0.000
2.727 1.574 1.113
8.180 4.723 3.339
```

=====

Here is a geometry-optimized Be2HgTe structure from the Alexandria database. Energies are from PBE.

Results
SG: I-42d (122)
ΔE to the lowest computed polymorph in eV/atom: 0.000
Total DFT energy (no corrections) in eV/atom: -2.386
Total moment in μB per atom: 0.00
Energy relative to the elements, uncorrected in meV per atom: 338

```
Be2HgTe
1.0
-1.732 -2.983 -4.998
5.770 -0.195 -1.883
2.608 -5.665 -1.212
Be Te Hg
4 2 2
Cartesian
0.311 -3.271 -3.605
4.022 -1.946 -2.162
3.537 -5.443 -3.511
5.424 -7.028 -6.908
2.019 -1.589 -3.440
5.199 -3.725 -3.268
0.000 0.000 0.000
1.448 -5.119 -4.825
```

=====

Here is a geometry-optimized MgBeRe2 structure from the Alexandria database. Energies are from PBE.

Results
E_form in eV per formula unit: 1.6
SG: P4/mmm (123)
ΔE to the lowest computed polymorph in eV/atom: 0.353
Total DFT energy (no corrections) in eV/atom: -7.150
Total moment in μB per atom: 0.00

```
MgBeRe2
1.0
3.693 0.000 0.000
0.000 3.693 0.000
0.000 0.000 4.201
Re Mg Be
2 1 1
Cartesian
0.000 0.000 0.000
1.846 1.846 0.000
0.000 1.846 2.101
1.846 0.000 2.101
```

=====

Here is a geometry-optimized GdCdPb structure from the Alexandria database. Energies are from PBE.

Results
E_form in eV per formula unit: -0.9
SG: P3m1 (156)
Total DFT energy (no corrections) in eV/atom: -6.543
Total moment in μB per atom: 2.41

```
GdCdPb
1.0
3.632 0.000 0.000
0.000 5.090 0.000
0.000 -2.545 4.408
Pb Gd Cd
1 1 1
Cartesian
0.905 0.000 2.939
2.441 2.545 1.469
0.287 0.000 0.000
```

=====

Here is a geometry-optimized Ca2PdPt2 structure from the Alexandria database. Energies are from PBE.

Results
E_form in eV per formula unit: -4.1
SG: C2/c (15)
Total DFT energy (no corrections) in eV/atom: -5.076
Total moment in μB per atom: 0.00

```
Ca2PdPt2
1.0
5.517 0.000 0.000
-2.759 4.779 0.014
0.000 -2.181 8.046
Ca Pd Pt
4 2 4
Cartesian
1.988 1.110 1.244
-0.771 2.579 2.793
0.771 1.488 6.816
3.530 0.019 5.267
4.568 -0.545 2.012
0.950 -1.636 6.035
2.027 2.451 4.012
4.785 1.237 0.025
0.732 0.147 4.048
-2.027 1.361 8.036
```

=====

Here is a geometry-optimized InPd5Pt structure from the Alexandria database. Energies are from PBE.

Results
E_form in eV per formula unit: 4.3
SG: Imm2 (44)
Total DFT energy (no corrections) in eV/atom: -4.345
Total moment in μB per atom: 0.00

```
InPd5Pt
1.0
7.467 0.000 0.000
0.000 5.235 0.000
-3.733 -2.618 4.394
In Pd Pt
1 5 1
Cartesian
3.194 2.618 0.000
0.945 0.000 2.240
6.023 2.618 0.000
4.679 2.618 2.155
0.871 3.906 0.000
0.871 1.329 0.000
6.046 0.000 0.000
```

=====

Here is a geometry-optimized HfAsP2S structure from the Alexandria database. Energies are from PBE.

Results
SG: P4/mmm (123)
ΔE to the lowest computed polymorph in eV/atom: 0.000
Total DFT energy (no corrections) in eV/atom: -5.505
Total moment in μB per atom: 0.00
Energy relative to the elements, uncorrected in meV per atom: 405

```
HfAsP2S
1.0
-4.030 2.672 1.458
-3.026 -3.778 -1.442
0.308 -1.904 4.343
P As Hf S
2 1 1 1
Cartesian
-1.513 -1.889 -0.721
-2.015 1.336 0.729
-3.374 -1.505 2.180
0.000 0.000 0.000
0.154 -0.952 2.172
```